(1)
VASP calculation (PBE) on a relaxed structure of Ca2Zn2Ag15.

Computed properties:
energy relative to the elements = -73 meV/atom

a b c (Å): 7.305 7.305 7.305
angles (deg): 82.41 82.41 82.41
Positions (direct):
Ca 0.342 0.342 0.342
Ca 0.658 0.658 0.658
Zn 0.096 0.096 0.096
Zn 0.904 0.904 0.904
Ag 0.500 0.000 0.000
Ag 0.000 0.000 0.500
Ag 0.000 0.500 0.000
Ag 0.000 0.695 0.305
Ag 0.695 0.305 0.000
Ag 0.305 0.000 0.695
Ag 0.305 0.695 0.000
Ag 0.695 0.000 0.305
Ag 0.000 0.305 0.695
Ag 0.156 0.654 0.654
Ag 0.654 0.654 0.156
Ag 0.654 0.156 0.654
Ag 0.844 0.346 0.346
Ag 0.346 0.346 0.844
Ag 0.346 0.844 0.346

(2)
VASP calculation (PBE) on a relaxed structure of Ca2Zn2Ag5.

Computed properties:
energy relative to the elements = -185 meV/atom

a b c (Å): 4.401 4.401 9.699
angles (deg): 90.00 90.00 90.00
Positions (direct):
Ca 0.000 0.000 0.000
Ca 0.000 0.000 0.500
Zn 0.500 0.500 0.127
Zn 0.500 0.500 0.873
Ag 0.500 0.000 0.277
Ag 0.500 0.000 0.723
Ag 0.000 0.500 0.277
Ag 0.000 0.500 0.723
Ag 0.500 0.500 0.500

(3)
VASP calculation (PBE) on a relaxed structure of Ca3Zn3Ag2.

Computed properties:
energy relative to the elements = -269 meV/atom

a b c (Å): 5.846 8.146 16.026
angles (deg): 90.00 90.00 90.00
Positions (direct):
Ca 0.125 0.460 0.393
Ca 0.625 0.040 0.607
Ca 0.875 0.540 0.893
Ca 0.375 0.960 0.107
Ca 0.875 0.540 0.607
Ca 0.375 0.960 0.393
Ca 0.125 0.460 0.107
Ca 0.625 0.040 0.893
Ca 0.624 0.323 0.250
Ca 0.124 0.177 0.750
Ca 0.376 0.677 0.750
Ca 0.876 0.823 0.250
Zn 0.124 0.172 0.250
Zn 0.624 0.328 0.750
Zn 0.876 0.828 0.750
Zn 0.376 0.672 0.250
Zn 0.598 0.313 0.464
Zn 0.098 0.187 0.536
Zn 0.402 0.687 0.964
Zn 0.902 0.813 0.036
Zn 0.402 0.687 0.536
Zn 0.902 0.813 0.464
Zn 0.598 0.313 0.036
Zn 0.098 0.187 0.964
Ag 0.881 0.109 0.391
Ag 0.381 0.391 0.609
Ag 0.119 0.891 0.891
Ag 0.619 0.609 0.109
Ag 0.119 0.891 0.609
Ag 0.619 0.609 0.391
Ag 0.881 0.109 0.109
Ag 0.381 0.391 0.891

(4)
VASP calculation (PBE) on a relaxed structure of CaZn8Ag3.

Computed properties:
energy relative to the elements = -99 meV/atom

a b c (Å): 5.188 5.188 8.614
angles (deg): 90.00 90.00 120.00
Positions (direct):
Ca 0.000 0.000 0.560
Zn 0.333 0.667 0.497
Zn 0.333 0.667 0.005
Zn 0.503 0.005 0.760
Zn 0.503 0.497 0.760
Zn 0.995 0.497 0.760
Zn 0.163 0.325 0.246
Zn 0.163 0.837 0.246
Zn 0.675 0.837 0.246
Ag 0.667 0.333 0.431
Ag 0.667 0.333 0.061
Ag 0.000 0.000 0.929

Which of these has the lowest energy relative to the elements?
Ca3Zn3Ag2